Record 1
{"formula": "CdTc2Os", "functional": "PBE", "state": "optimized geometry", "lattice_angstrom": [[2.876, 0.000, 0.000], [0.000, 4.640, 0.000], [0.000, 0.000, 9.552]], "species": ["Cd", "Cd", "Tc", "Tc", "Tc", "Tc", "Os", "Os"], "fractional_positions": [[0.000, 0.000, 0.000], [0.500, 0.500, 0.000], [0.000, 0.500, 0.267], [0.000, 0.500, 0.733], [0.500, 0.000, 0.267], [0.500, 0.000, 0.733], [0.000, 0.000, 0.500], [0.500, 0.500, 0.500]], "space_group": "No. 65"}

Record 2
{"formula": "CdTcOs4", "functional": "PBE", "state": "optimized geometry", "lattice_angstrom": [[0.000, 3.653, 3.653], [3.653, 0.000, 3.653], [3.653, 3.653, 0.000]], "species": ["Cd", "Tc", "Os", "Os", "Os", "Os"], "fractional_positions": [[0.000, 0.000, 0.000], [0.250, 0.250, 0.250], [0.126, 0.625, 0.625], [0.625, 0.126, 0.625], [0.625, 0.625, 0.126], [0.625, 0.625, 0.625]], "space_group": "No. 216"}

Listing ΔE_f for the structures above in their given order: 11.16, 16.98 kcal/mol of atoms.